UMn4HgS8: relaxed, PBE-GGA.

```
UMn4HgS8
1.0
-2.941 1.919 -6.596
-2.094 -5.295 -4.840
-7.368 -1.180 -1.291
U Mn Hg S
1 4 1 8
direct
0.001 0.001 0.998
0.632 0.632 0.105
0.998 0.502 0.502
0.502 0.998 0.502
0.998 0.998 0.502
0.362 0.362 0.915
0.248 0.781 0.722
0.781 0.248 0.722
0.248 0.248 0.722
0.230 0.230 0.311
0.751 0.237 0.261
0.237 0.751 0.261
0.751 0.751 0.261
0.762 0.762 0.713
```

Summary:
- Magnetization: 19.95 Bohr magnetons per cell
- Uncorrected formation energy: -645 meV/atom

ZrMn2HgS: relaxed, PBE-GGA.

```
ZrMn2HgS
1.0
5.304 0.000 0.000
0.000 4.835 0.000
0.000 0.000 5.304
S Mn Hg Zr
1 2 1 1
direct
0.000 0.500 0.000
0.000 0.000 0.500
0.500 0.000 0.000
0.500 0.500 0.500
0.000 0.000 0.000
```

Summary:
- Magnetization: 7.80 Bohr magnetons per cell
- Uncorrected formation energy: 667 meV/atom

MnHgSb2: relaxed, PBE-GGA.

```
MnHgSb2
1.0
-4.414 3.363 -0.561
-3.529 -3.763 2.121
-0.278 1.101 3.017
Hg Mn Sb
1 1 2
direct
0.500 0.000 0.500
0.000 0.500 0.500
0.000 0.000 0.000
0.500 0.500 0.000
```

Summary:
- Magnetization: 3.90 Bohr magnetons per cell
- Uncorrected formation energy: 320 meV/atom

MnHgSb2: relaxed, PBE-GGA.

```
MnHgSb2
1.0
5.148 0.000 0.000
2.574 4.459 0.000
2.574 1.486 4.204
Hg Mn Sb
1 1 2
direct
0.500 0.500 0.500
0.250 0.250 0.250
0.000 0.000 0.000
0.750 0.750 0.750
```

Summary:
- Magnetization: 3.92 Bohr magnetons per cell
- Uncorrected formation energy: 415 meV/atom

MnHgSb2: relaxed, PBE-GGA.

```
MnHgSb2
1.0
-1.180 -2.311 -1.824
2.485 0.268 -1.952
4.504 -6.159 4.890
Hg Mn Sb
1 1 2
direct
0.500 0.500 0.250
0.500 0.500 0.750
0.000 0.000 0.924
0.000 0.000 0.576
```

Summary:
- Magnetization: 0.00 Bohr magnetons per cell
- Uncorrected formation energy: 161 meV/atom

MnHgSb: relaxed, PBE-GGA.

```
MnHgSb
1.0
-1.446 -2.772 -0.371
2.320 -0.955 -1.903
6.446 -4.735 10.235
Sb Mn Hg
2 2 2
direct
0.000 0.500 0.622
0.500 0.000 0.378
0.500 0.000 0.764
0.000 0.500 0.236
0.000 0.500 0.909
0.500 0.000 0.091
```

Summary:
- ΔE to the lowest computed polymorph: 59 meV per atom
- Magnetization: 6.88 Bohr magnetons per cell
- Uncorrected formation energy: 223 meV/atom

MnHgSb2: relaxed, PBE-GGA.

```
MnHgSb2
1.0
4.004 0.000 0.000
0.000 4.834 0.000
0.000 0.000 4.834
Hg Mn Sb
1 1 2
direct
0.500 0.500 0.000
0.500 0.000 0.500
0.000 0.000 0.000
0.000 0.500 0.500
```

Summary:
- Magnetization: 3.94 Bohr magnetons per cell
- Uncorrected formation energy: 340 meV/atom

MnHgSb2: relaxed, PBE-GGA.

```
MnHgSb2
1.0
6.207 0.000 0.000
0.000 6.207 0.000
3.103 3.103 6.171
Sb Mn Hg
4 2 2
direct
0.549 0.125 0.250
0.201 0.625 0.250
0.375 0.451 0.750
0.875 0.799 0.750
0.500 0.500 0.000
0.250 0.750 0.500
0.000 0.000 0.000
0.750 0.250 0.500
```

Summary:
- Magnetization: 0.00 Bohr magnetons per cell
- Uncorrected formation energy: 483 meV/atom

Mn3HgSb: relaxed, PBE-GGA.

```
Mn3HgSb
1.0
5.056 0.000 0.000
0.000 5.056 0.000
0.000 0.000 5.056
Sb Mn Hg
1 3 1
direct
0.000 0.000 0.000
0.000 0.500 0.000
0.000 0.000 0.500
0.500 0.000 0.000
0.500 0.500 0.500
```

Summary:
- ΔE to the lowest computed polymorph: 0 meV per atom
- Magnetization: 12.04 Bohr magnetons per cell
- Uncorrected formation energy: 884 meV/atom

MnHgSb2: relaxed, PBE-GGA.

```
MnHgSb2
1.0
3.137 0.246 0.000
-0.254 3.136 0.000
0.000 0.000 9.474
Hg Mn Sb
1 1 2
direct
0.000 0.000 0.541
0.500 0.500 0.745
0.000 0.000 0.943
0.500 0.500 0.271
```

Summary:
- Magnetization: 3.63 Bohr magnetons per cell
- Uncorrected formation energy: 246 meV/atom

MnHgSb2: relaxed, PBE-GGA.

```
MnHgSb2
1.0
-0.961 2.489 -4.679
-4.662 -2.647 0.517
-1.272 2.556 1.621
Hg Mn Sb
1 1 2
direct
0.500 0.000 0.500
0.000 0.500 0.500
0.000 0.000 0.000
0.500 0.500 0.000
```

Summary:
- Magnetization: 3.98 Bohr magnetons per cell
- Uncorrected formation energy: 339 meV/atom

MnHgSb2: relaxed, PBE-GGA.

```
MnHgSb2
1.0
-1.933 -2.639 -4.438
-3.983 -3.416 1.693
0.752 5.381 0.934
Hg Mn Sb
1 1 2
direct
0.250 0.750 0.500
0.750 0.250 0.500
0.000 0.000 0.000
0.500 0.500 0.000
```

Summary:
- Magnetization: 3.88 Bohr magnetons per cell
- Uncorrected formation energy: 324 meV/atom

MnHg2Sb2: relaxed, PBE-GGA.

```
MnHg2Sb2
1.0
-2.278 3.995 -5.151
1.310 -5.065 -4.507
-5.122 -1.977 0.732
Sb Mn Hg
4 2 4
direct
0.350 0.850 0.000
0.850 0.650 0.000
0.650 0.150 0.000
0.150 0.350 0.000
0.000 0.000 0.000
0.500 0.500 0.000
0.195 0.695 0.500
0.695 0.805 0.500
0.805 0.305 0.500
0.305 0.195 0.500
```

Summary:
- Magnetization: 5.99 Bohr magnetons per cell
- Uncorrected formation energy: 240 meV/atom

Mn4HgSb: relaxed, PBE-GGA.

```
Mn4HgSb
1.0
-5.010 0.825 0.431
-2.056 4.252 -1.912
-2.986 -0.244 -4.121
Mn Hg Sb
4 1 1
direct
0.874 0.375 0.375
0.375 0.375 0.874
0.375 0.874 0.375
0.375 0.375 0.375
0.000 0.000 0.000
0.750 0.750 0.750
```

Summary:
- Magnetization: 9.71 Bohr magnetons per cell
- Uncorrected formation energy: 461 meV/atom

MnHgSb2: relaxed, PBE-GGA.

```
MnHgSb2
1.0
8.762 -0.481 -0.282
8.215 3.086 -0.282
8.215 1.260 2.831
Hg Mn Sb
1 1 2
direct
0.250 0.250 0.250
0.750 0.750 0.750
0.017 0.017 0.017
0.483 0.483 0.483
```

Summary:
- Magnetization: 2.52 Bohr magnetons per cell
- Uncorrected formation energy: 106 meV/atom

MnHgSb3: relaxed, PBE-GGA.

```
MnHgSb3
1.0
-3.643 -4.162 -0.150
0.713 -0.427 -5.471
4.103 -3.621 0.818
Sb Mn Hg
3 1 1
direct
0.000 0.500 0.000
0.000 0.000 0.500
0.500 0.000 0.000
0.500 0.500 0.500
0.000 0.000 0.000
```

Summary:
- ΔE to the lowest computed polymorph: 751 meV per atom
- Magnetization: 4.38 Bohr magnetons per cell
- Uncorrected formation energy: 1118 meV/atom

Mn2HgSb2: relaxed, PBE-GGA.

```
Mn2HgSb2
1.0
-3.051 -6.667 0.888
4.630 -1.375 5.587
-2.132 1.252 2.075
Sb Mn Hg
4 4 2
direct
0.152 0.652 0.500
0.652 0.848 0.500
0.848 0.348 0.500
0.348 0.152 0.500
0.359 0.859 0.000
0.859 0.641 0.000
0.641 0.141 0.000
0.141 0.359 0.000
0.000 0.000 0.000
0.500 0.500 0.000
```

Summary:
- ΔE to the lowest computed polymorph: 122 meV per atom
- Magnetization: 0.00 Bohr magnetons per cell
- Uncorrected formation energy: 380 meV/atom

MnHgSb2: relaxed, PBE-GGA.

```
MnHgSb2
1.0
4.139 0.000 0.000
0.000 4.139 0.000
0.000 0.000 5.817
Hg Mn Sb
1 1 2
direct
0.000 0.000 0.376
0.500 0.500 0.874
0.000 0.000 0.876
0.500 0.500 0.374
```

Summary:
- Magnetization: 3.76 Bohr magnetons per cell
- Uncorrected formation energy: 228 meV/atom

Mn2HgSb2: relaxed, PBE-GGA.

```
Mn2HgSb2
1.0
4.578 0.000 0.000
0.000 4.578 0.000
2.289 2.289 5.816
Sb Mn Hg
2 2 1
direct
0.369 0.369 0.262
0.631 0.631 0.738
0.750 0.250 0.500
0.250 0.750 0.500
0.000 0.000 0.000
```

Summary:
- ΔE to the lowest computed polymorph: 0 meV per atom
- Magnetization: 7.15 Bohr magnetons per cell
- Uncorrected formation energy: 258 meV/atom

MnHgSb2: relaxed, PBE-GGA.

```
MnHgSb2
1.0
-5.688 0.414 0.849
-1.803 -3.605 4.124
3.640 4.390 -0.853
Hg Mn Sb
1 1 2
direct
0.750 0.250 0.500
0.250 0.750 0.500
0.030 0.030 0.000
0.470 0.470 0.000
```

Summary:
- Magnetization: 3.98 Bohr magnetons per cell
- Uncorrected formation energy: 295 meV/atom

MnHg3Sb: relaxed, PBE-GGA.

```
MnHg3Sb
1.0
-3.051 -4.117 0.617
4.162 -2.998 0.578
-0.102 0.839 5.092
Sb Mn Hg
1 1 3
direct
0.500 0.500 0.500
0.000 0.000 0.000
0.000 0.500 0.000
0.000 0.000 0.500
0.500 0.000 0.000
```

Summary:
- ΔE to the lowest computed polymorph: 0 meV per atom
- Magnetization: 3.62 Bohr magnetons per cell
- Uncorrected formation energy: 543 meV/atom

MnHgSb2: relaxed, PBE-GGA.

```
MnHgSb2
1.0
-4.777 -3.650 -1.192
0.759 -5.824 -1.751
1.958 3.871 4.330
Hg Mn Sb
1 1 2
direct
0.500 0.500 0.000
0.750 0.250 0.500
0.000 0.000 0.000
0.250 0.750 0.500
```

Summary:
- Magnetization: 4.11 Bohr magnetons per cell
- Uncorrected formation energy: 328 meV/atom

MnHgSb: relaxed, PBE-GGA.

```
MnHgSb
1.0
4.636 0.000 0.000
2.318 4.015 0.000
2.318 1.338 3.786
Hg Mn Sb
1 1 1
direct
0.500 0.500 0.500
0.250 0.250 0.250
0.000 0.000 0.000
```

Summary:
- ΔE to the lowest computed polymorph: 0 meV per atom
- Magnetization: 3.79 Bohr magnetons per cell
- Uncorrected formation energy: 164 meV/atom

MnHgSb2: relaxed, PBE-GGA.

```
MnHgSb2
1.0
-4.027 -0.299 -2.574
2.421 -2.616 -3.483
-0.060 -4.936 0.668
Hg Mn Sb
1 1 2
direct
0.000 0.543 0.544
0.500 0.725 0.725
0.000 0.888 0.888
0.500 0.344 0.343
```

Summary:
- Magnetization: 3.68 Bohr magnetons per cell
- Uncorrected formation energy: 241 meV/atom

MnHgSb2: relaxed, PBE-GGA.

```
MnHgSb2
1.0
7.119 0.010 -0.017
6.418 3.080 -0.017
1.074 0.245 4.537
Hg Mn Sb
1 1 2
direct
0.435 0.435 0.570
0.740 0.740 0.732
0.069 0.069 0.973
0.257 0.257 0.225
```

Summary:
- Magnetization: 3.55 Bohr magnetons per cell
- Uncorrected formation energy: 204 meV/atom

MnHgSb3: relaxed, PBE-GGA.

```
MnHgSb3
1.0
-0.758 -0.439 4.937
1.374 -4.817 -0.217
4.762 1.320 0.848
Sb Mn Hg
3 1 1
direct
0.000 0.500 0.000
0.000 0.000 0.500
0.500 0.000 0.000
0.000 0.000 0.000
0.500 0.500 0.500
```

Summary:
- ΔE to the lowest computed polymorph: 0 meV per atom
- Magnetization: 0.00 Bohr magnetons per cell
- Uncorrected formation energy: 367 meV/atom

MnHgSb: relaxed, PBE-GGA.

```
MnHgSb
1.0
4.119 0.000 0.000
-2.059 3.567 0.000
0.000 0.000 4.955
Hg Mn Sb
1 1 1
direct
0.000 0.000 0.026
0.667 0.333 0.350
0.333 0.667 0.624
```

Summary:
- ΔE to the lowest computed polymorph: 109 meV per atom
- Magnetization: 4.08 Bohr magnetons per cell
- Uncorrected formation energy: 273 meV/atom

MnHgSb: relaxed, PBE-GGA.

```
MnHgSb
1.0
6.442 0.067 -0.012
4.640 4.470 0.012
-5.690 -1.905 2.347
Hg Mn Sb
1 1 1
direct
0.979 0.979 0.000
0.326 0.326 0.000
0.695 0.695 0.000
```

Summary:
- ΔE to the lowest computed polymorph: 102 meV per atom
- Magnetization: 3.57 Bohr magnetons per cell
- Uncorrected formation energy: 266 meV/atom

MnHgSb2: relaxed, PBE-GGA.

```
MnHgSb2
1.0
9.169 -0.294 -0.173
8.610 3.166 -0.173
8.610 1.391 2.849
Hg Mn Sb
1 1 2
direct
0.489 0.489 0.489
0.749 0.749 0.749
0.017 0.017 0.017
0.246 0.246 0.246
```

Summary:
- Magnetization: 3.07 Bohr magnetons per cell
- Uncorrected formation energy: 289 meV/atom